(1)
PBE Mg2TiRu, relaxed; E_form = 279.8 meV per atom; total moment = 0.00 μB/f.u.; V = 143 Å³ per cell; distance to the lowest polymorph of the same formula = 9.9 kJ/mol of atoms
1.0
-1.972 2.560 -1.943
-3.080 -2.157 0.284
-4.972 4.825 7.745
Ru Mg Ti
2 4 2
direct
0.000 0.000 0.000
0.750 0.250 0.500
0.635 0.125 0.250
0.115 0.625 0.250
0.375 0.365 0.750
0.875 0.885 0.750
0.500 0.500 0.000
0.250 0.750 0.500

---

(2)
PBE TbPaCu2, relaxed; E_form = 75.7 meV per atom; total moment = 0.51 μB/f.u.; V = 83 Å³ per cell; distance to the lowest polymorph of the same formula = 7.0 kJ/mol of atoms
1.0
4.888 0.000 0.000
2.444 4.233 0.000
2.444 1.411 3.991
Pa Tb Cu
1 1 2
direct
0.000 0.000 0.000
0.500 0.500 0.500
0.250 0.250 0.250
0.750 0.750 0.750

---

(3)
PBE ErMgAu, relaxed; E_form = -645.4 meV per atom; total moment = 0.00 μB/f.u.; V = 136 Å³ per cell
1.0
-0.187 4.183 -0.236
-3.410 -0.015 2.441
4.503 0.556 6.293
Er Au Mg
2 2 2
direct
0.000 0.500 0.854
0.500 0.000 0.146
0.000 0.500 0.239
0.500 0.000 0.761
0.500 0.500 0.500
0.000 0.000 0.500

---

(4)
PBE CaLuMgAu, relaxed; E_form = -373.9 meV per atom; total moment = 0.00 μB/f.u.; V = 98 Å³ per cell
1.0
-0.320 -4.768 -1.993
3.980 -3.278 0.477
-0.384 -4.099 3.141
Ca Lu Au Mg
1 1 1 1
direct
0.500 0.500 0.500
0.000 0.000 0.000
0.750 0.750 0.750
0.250 0.250 0.250

---

(5)
PBE K4CaIr, relaxed; E_form = 856.2 meV per atom; total moment = 0.00 μB/f.u.; V = 231 Å³ per cell
1.0
0.000 4.870 4.870
4.870 0.000 4.870
4.870 4.870 0.000
K Ca Ir
4 1 1
direct
0.884 0.372 0.372
0.372 0.372 0.884
0.372 0.884 0.372
0.372 0.372 0.372
0.750 0.750 0.750
0.000 0.000 0.000

---

(6)
PBE MgCu2Te, relaxed; total moment = 0.00 μB/f.u.; V = 71 Å³ per cell; uncorrected formation energy = 0.071 eV/atom; distance to the lowest polymorph of the same formula = 11.9 kJ/mol of atoms
1.0
-0.512 1.287 4.957
2.427 -3.334 3.080
1.447 2.626 -4.184
Cu Mg Te
2 1 1
direct
0.000 0.000 0.000
0.500 0.500 0.000
0.750 0.250 0.500
0.250 0.750 0.500

---

> Which of these has the highest V?

K4CaIr